[1]
A plane-wave DFT calculation with PBEsol was carried out for a relaxed ScPbCl crystal.

```
3
Lattice="4.734 0.000 0.000 2.367 4.099 0.000 2.367 1.366 3.865" Properties=species:S:1:pos:R:3 pbc="T T T"
Pb 0.000 0.000 0.000
Cl 7.100 4.099 2.899
Sc 4.734 2.733 1.932
```

total moment	0.001	μB/f.u.
N(E_F)	1.12	states/eV per atom
formation energy without anion corrections	-115.6	meV per atom

[2]
A plane-wave DFT calculation with PBEsol was carried out for a relaxed ScPbCl2 crystal.

```
4
Lattice="-3.183 -0.257 -1.126 -1.221 -3.011 -0.951 -4.684 -2.779 8.785" Properties=species:S:1:pos:R:3 pbc="T T T"
Cl -1.975 -1.356 0.802
Cl -7.113 -4.691 5.906
Pb -4.544 -3.023 3.354
Sc 0.000 0.000 0.000
```

energy relative to the lowest polymorph listed for this composition	0.0	meV/atom
total moment	0.000	μB/f.u.
N(E_F)	0.52	states/eV per atom
formation energy without anion corrections	-1291.8	meV per atom

[3]
A plane-wave DFT calculation with PBEsol was carried out for a relaxed Sc2PbCl crystal.

```
4
Lattice="-0.677 -4.610 1.705 3.667 -2.318 2.409 -0.363 -0.812 4.882" Properties=species:S:1:pos:R:3 pbc="T T T"
Sc 0.657 -1.935 2.249
Sc 1.970 -5.805 6.746
Cl 1.313 -3.870 4.498
Pb 0.000 0.000 0.000
```

energy relative to the lowest polymorph listed for this composition	102.7	meV/atom
total moment	0.731	μB/f.u.
N(E_F)	0.91	states/eV per atom
formation energy without anion corrections	-643.5	meV per atom

[4]
A plane-wave DFT calculation with PBEsol was carried out for a relaxed ScPbCl2 crystal.

```
4
Lattice="3.141 0.000 0.000 0.000 3.141 0.000 0.000 0.000 10.249" Properties=species:S:1:pos:R:3 pbc="T T T"
Cl 0.000 0.000 6.625
Cl 0.000 0.000 3.625
Sc 1.571 1.571 5.125
Pb 1.571 1.571 0.000
```

energy relative to the lowest polymorph listed for this composition	115.5	meV/atom
total moment	0.001	μB/f.u.
N(E_F)	0.45	states/eV per atom
formation energy without anion corrections	-1176.3	meV per atom

[5]
A plane-wave DFT calculation with PBEsol was carried out for a relaxed Sc2PbCl crystal.

```
4
Lattice="3.410 0.000 0.000 0.000 4.535 0.003 -1.706 -0.003 5.742" Properties=species:S:1:pos:R:3 pbc="T T T"
Pb 1.704 0.566 2.601
Cl -0.001 2.831 5.666
Sc 1.705 0.562 5.715
Sc 0.000 2.833 3.248
```

energy relative to the lowest polymorph listed for this composition	0.0	meV/atom
total moment	0.005	μB/f.u.
N(E_F)	0.99	states/eV per atom
formation energy without anion corrections	-746.3	meV per atom

[6]
A plane-wave DFT calculation with PBEsol was carried out for a relaxed ScPb2Cl crystal.

```
4
Lattice="3.601 0.039 0.000 -0.167 5.203 0.000 0.000 0.000 5.560" Properties=species:S:1:pos:R:3 pbc="T T T"
Sc 1.717 2.621 2.780
Pb 2.679 3.876 0.000
Pb 0.755 1.367 0.000
Cl 1.801 0.020 2.780
```

total moment	0.012	μB/f.u.
N(E_F)	0.86	states/eV per atom
formation energy without anion corrections	-407.3	meV per atom

[7]
A plane-wave DFT calculation with PBEsol was carried out for a relaxed Sc2PbCl crystal.

```
4
Lattice="-2.712 0.999 -1.666 -3.038 -0.761 1.149 -2.046 8.825 5.279" Properties=species:S:1:pos:R:3 pbc="T T T"
Sc -5.845 6.612 3.456
Sc -2.043 8.607 5.143
Pb -1.947 2.089 1.080
Cl -3.907 5.112 2.743
```

energy relative to the lowest polymorph listed for this composition	55.2	meV/atom
total moment	1.034	μB/f.u.
N(E_F)	0.99	states/eV per atom
formation energy without anion corrections	-691.1	meV per atom

[8]
A plane-wave DFT calculation with PBEsol was carried out for a relaxed PbSeCl2 crystal.

```
8
Lattice="6.482 0.000 0.000 3.241 5.745 0.000 3.241 0.000 5.745" Properties=species:S:1:pos:R:3 pbc="T T T"
Pb 0.000 0.000 0.000
Pb 8.102 2.873 2.873
Cl 7.292 2.720 0.152
Cl 7.292 3.025 5.593
Cl 8.913 5.593 2.720
Cl 2.431 0.152 3.025
Se 4.861 2.873 2.873
Se 3.241 0.000 0.000
```

energy relative to the lowest polymorph listed for this composition	117.5	meV/atom
total moment	2.034	μB/f.u.
N(E_F)	0.43	states/eV per atom
formation energy without anion corrections	-208.2	meV per atom